# 1
VASP calculation (PBE) on a geometry-optimized Cd5InGa2 structure.

Calculated values
total moment: 0.0 μB/cell
N(E_F): 0.407 states/eV per atom
DFT formation energy: 0.06 eV/atom
calculated density: 7.177 Mg/m³
energy above the lowest structure with this stoichiometry: 16 kJ/mol of formula units

```
data_Cd5InGa2
_chemical_formula_sum 'Cd10 In2 Ga4'
_cell_length_a 4.1184
_cell_length_b 8.3439
_cell_length_c 10.9931
_cell_angle_alpha 90.00
_cell_angle_beta 90.00
_cell_angle_gamma 90.00
_space_group_name_H-M_alt 'I m m m'
_space_group_IT_number 71
_space_group_name_Hall '-I 2 2'
loop_
_atom_site_label
_atom_site_type_symbol
_atom_site_fract_x
_atom_site_fract_y
_atom_site_fract_z
_atom_site_occupancy
Cd1 Cd 0.0000 0.0000 0.0000 1
Cd2 Cd 0.0000 0.3031 0.3606 1
In1 In 0.0000 0.5000 0.0000 1
Ga1 Ga 0.0000 0.0000 0.2664 1
```

***

# 2
VASP calculation (PBE) on a geometry-optimized CdInGa structure.

Calculated values
total moment: 0.0 μB/cell
N(E_F): 0.396 states/eV per atom
DFT formation energy: 0.06 eV/atom
calculated density: 6.864 Mg/m³

```
data_CdInGa
_chemical_formula_sum 'Cd2 In2 Ga2'
_cell_length_a 5.5601
_cell_length_b 4.3588
_cell_length_c 6.3551
_cell_angle_alpha 90.00
_cell_angle_beta 111.11
_cell_angle_gamma 90.00
_space_group_name_H-M_alt 'P 1 21 1'
_space_group_IT_number 4
loop_
_space_group_symop_operation_xyz
'x,y,z'
'-x,y+1/2,-z'
loop_
_atom_site_label
_atom_site_type_symbol
_atom_site_fract_x
_atom_site_fract_y
_atom_site_fract_z
_atom_site_occupancy
Cd1 Cd 0.1053 0.0000 0.1811 1
In1 In 0.2741 0.4997 0.5605 1
Ga1 Ga 0.4390 0.5008 0.1038 1
```

***

# 3
VASP calculation (PBE) on a geometry-optimized Cd8In2Ga3 structure.

Calculated values
total moment: 0.0 μB/cell
N(E_F): 0.289 states/eV per atom
DFT formation energy: 0.07 eV/atom
calculated density: 6.962 Mg/m³
energy above the lowest structure with this stoichiometry: 0 kJ/mol of formula units

```
data_Cd8In2Ga3
_chemical_formula_sum 'Cd8 In2 Ga3'
_cell_length_a 8.5664
_cell_length_b 4.4543
_cell_length_c 9.3037
_cell_angle_alpha 90.00
_cell_angle_beta 115.98
_cell_angle_gamma 90.00
_space_group_name_H-M_alt 'P 1 2/m 1'
_space_group_IT_number 10
loop_
_space_group_symop_operation_xyz
'x,y,z'
'-x,-y,-z'
'-x,y,-z'
'x,-y,z'
loop_
_atom_site_label
_atom_site_type_symbol
_atom_site_fract_x
_atom_site_fract_y
_atom_site_fract_z
_atom_site_occupancy
Cd1 Cd 0.1889 0.0000 0.3588 1
Cd2 Cd 0.1976 0.5000 0.5946 1
Cd3 Cd 0.2830 0.5000 0.1564 1
Cd4 Cd 0.3046 0.0000 0.9145 1
In1 In 0.4709 0.0000 0.6895 1
Ga1 Ga 0.0000 0.0000 0.0000 1
Ga2 Ga 0.0438 0.5000 0.8097 1
```

***

# 4
VASP calculation (PBE) on a geometry-optimized CdIn4Ga structure.

Calculated values
total moment: 0.0 μB/cell
N(E_F): 0.410 states/eV per atom
DFT formation energy: 0.05 eV/atom
calculated density: 6.478 Mg/m³
energy above the lowest structure with this stoichiometry: 11 kJ/mol of formula units

```
data_CdIn4Ga
_chemical_formula_sum 'Cd2 In8 Ga2'
_cell_length_a 8.0104
_cell_length_b 4.8331
_cell_length_c 8.9375
_cell_angle_alpha 90.00
_cell_angle_beta 108.14
_cell_angle_gamma 90.00
_space_group_name_H-M_alt 'C 1 2/m 1'
_space_group_IT_number 12
loop_
_space_group_symop_operation_xyz
'x,y,z'
'-x,-y,-z'
'-x,y,-z'
'x,-y,z'
'x+1/2,y+1/2,z'
'-x+1/2,-y+1/2,-z'
'-x+1/2,y+1/2,-z'
'x+1/2,-y+1/2,z'
loop_
_atom_site_label
_atom_site_type_symbol
_atom_site_fract_x
_atom_site_fract_y
_atom_site_fract_z
_atom_site_occupancy
Cd1 Cd 0.0000 0.0000 0.0000 1
In1 In 0.1105 0.5000 0.8519 1
In2 In 0.1158 0.0000 0.3673 1
Ga1 Ga 0.0000 0.5000 0.5000 1
```

***

Look up the N(E_F) of the fourth one.
0.410 states/eV per atom